Record 1
Density functional theory data (PBE) for PmTh3Rh4 after structural relaxation.

The structure in POSCAR format:
```
PmTh3Rh4
1.0
7.1004 0.0000 0.0000
0.0000 8.1883 0.0000
-2.3434 0.0000 6.6879
Pm Th Rh
2 6 8
Direct
0.0000 0.1245 0.2500
0.0000 0.8755 0.7500
0.0000 0.3734 0.7500
0.0000 0.6266 0.2500
0.5000 0.1256 0.7500
0.5000 0.3741 0.2500
0.5000 0.6259 0.7500
0.5000 0.8744 0.2500
0.2520 0.3804 0.5050
0.2520 0.6196 0.0050
0.2605 0.1296 0.9987
0.2605 0.8704 0.4987
0.7395 0.1296 0.5013
0.7395 0.8704 0.0013
0.7480 0.3804 0.9950
0.7480 0.6196 0.4950
```

Summary:
For the theoretical density, the calculation gives 10.70 Mg/m³. For the total energy, the calculation gives -126.17 eV per cell. The calculation puts the spin magnetization at 0.0000 μB/atom. For the density of states at the Fermi level, the calculation gives 6.891 states/eV/f.u. The formation energy comes out at -0.83 eV per atom. As for the symmetry: P2/c (13).

---

Record 2
Density functional theory data (PBE) for AcErMgCd after structural relaxation.

The structure in POSCAR format:
```
AcErMgCd
1.0
0.0000 3.9282 3.9282
3.9282 0.0000 3.9282
3.9282 3.9282 0.0000
Ac Er Mg Cd
1 1 1 1
Direct
0.0000 0.0000 0.0000
0.5000 0.5000 0.5000
0.7500 0.7500 0.7500
0.2500 0.2500 0.2500
```

Summary:
For the theoretical density, the calculation gives 7.27 Mg/m³. For the total energy, the calculation gives -11.75 eV per cell. The calculation puts the spin magnetization at 0.0003 μB/atom. For the density of states at the Fermi level, the calculation gives 4.905 states/eV/f.u. The formation energy comes out at -0.14 eV per atom. As for the symmetry: F-43m (216).

---

Record 3
Density functional theory data (PBE) for BaIrN2O after structural relaxation.

The structure in POSCAR format:
```
BaIrN2O
1.0
3.8770 0.0000 0.0000
0.0000 3.8770 0.0000
0.0000 0.0000 4.6482
Ba Ir N O
1 1 2 1
Direct
0.0000 0.0000 0.0000
0.5000 0.5000 0.5000
0.0000 0.5000 0.5000
0.5000 0.0000 0.5000
0.5000 0.5000 0.0000
```

Summary:
For the theoretical density, the calculation gives 8.88 Mg/m³. For the total energy, the calculation gives -34.12 eV per cell. The calculation puts the spin magnetization at 0.0000 μB/atom. For the density of states at the Fermi level, the calculation gives 1.459 states/eV/f.u. As for the symmetry: P4/mmm (123).